Here is an optimized crystal structure of CsTa2P5O18 from the Alexandria database. Energies are from PBEsol.

Output
raw formation energy	-6039	kJ/mol of formula units
magnetization	0.1	μB per cell

Unit cell a=5.1745 b=11.0214 c=14.4911 alpha=83.35 beta=86.74 gamma=84.47
Last column: nearest neighbours and their distance in Å.
Space group P-1 (No. 2)
Unique sites:
Cs (0.1933, 0.3929, 0.1240) x2  7 O 3.10-3.30
Ta (0.2002, 0.2108, 0.4919) x2  6 O 1.93-2.00
Ta (0.2488, 0.9389, 0.1471) x2  6 O 1.92-2.01
P (0.1059, 0.4155, 0.6555) x2  4 O 1.47-1.60
P (0.2019, 0.2718, 0.8338) x2  4 O 1.47-1.63
P (0.2802, 0.8737, 0.9197) x2  4 O 1.48-1.58
P (0.2902, 0.9460, 0.3881) x2  4 O 1.52-1.54
P (0.3099, 0.6487, 0.6378) x2  4 O 1.47-1.61
O (0.0390, 0.7980, 0.1784) x2  1 P 1.56
O (0.0473, 0.8964, 0.4394) x2  1 P 1.54
O (0.0655, 0.9488, 0.8588) x2  1 P 1.57
O (0.0670, 0.7223, 0.5919) x2  1 P 1.57
O (0.0960, 0.3348, 0.5751) x2  1 P 1.55
O (0.1416, 0.5291, 0.3070) x2  1 P 1.47
O (0.1679, 0.3639, 0.9005) x2  1 P 1.47
O (0.2402, 0.9272, 0.0163) x2  1 P 1.58
O (0.2658, 0.9512, 0.2838) x2  1 P 1.52
O (0.2716, 0.7395, 0.9280) x2  1 P 1.48
O (0.2795, 0.3314, 0.7290) x2  2 P 1.59-1.63
O (0.3009, 0.5123, 0.6091) x2  2 P 1.60-1.61
O (0.3106, 0.0761, 0.4146) x2  1 P 1.54
O (0.3211, 0.6555, 0.7380) x2  1 P 1.47
O (0.4334, 0.1725, 0.8483) x2  1 P 1.55
O (0.4550, 0.3082, 0.4252) x2  1 P 1.56
O (0.4575, 0.0805, 0.1230) x2  1 P 1.56
O (0.4669, 0.1368, 0.5814) x2  1 P 1.53